# Na3Hg6Pb2

Crystalline Na3Hg6Pb2 at its relaxed geometry (GGA-PBE, Alexandria).

* DOS at the Fermi energy: 4.58 states/eV/cell
* spin magnetization: 0.00 Bohr magnetons per cell
* energy of formation: -0.039 eV/atom
* SG: I4/mmm (139)

a = 13.780 Å, b = 13.780 Å, c = 13.780 Å
α = 158.60°, β = 158.60°, γ = 30.45°
Fractional positions:
Na: 0.000 0.000 0.000
Na: 0.142 0.142 0.000
Na: 0.858 0.858 0.000
Hg: 0.059 0.559 0.500
Hg: 0.258 0.258 0.000
Hg: 0.441 0.941 0.500
Hg: 0.559 0.059 0.500
Hg: 0.742 0.742 0.000
Hg: 0.941 0.441 0.500
Pb: 0.378 0.378 0.000
Pb: 0.622 0.622 0.000